# 1
# PBE Cu2Bi2S, optimized geometry
# - calculated volume (Å³ per atom) = 20.90
data_Cu2Bi2S
_chemical_formula_sum 'Cu4 Bi4 S2'
_symmetry_space_group_name_H-M 'I 4/m m m'
_symmetry_Int_Tables_number 139
_symmetry_space_group_name_Hall '-I 4 2'
_cell_length_a 3.5809
_cell_length_b 3.5809
_cell_length_c 16.2965
_cell_angle_alpha 90.00
_cell_angle_beta 90.00
_cell_angle_gamma 90.00
loop_
_atom_site_label
_atom_site_type_symbol
_atom_site_fract_x
_atom_site_fract_y
_atom_site_fract_z
Cu1 Cu 0.0000 0.5000 0.2500
Bi1 Bi 0.0000 0.0000 0.1110
S1 S 0.0000 0.0000 0.5000

---

# 2
# PBE CuBi5S8, optimized geometry
# - calculated volume (Å³ per atom) = 27.22
data_CuBi5S8
_chemical_formula_sum 'Cu4 Bi20 S32'
_symmetry_space_group_name_H-M 'F -4 3 m'
_symmetry_Int_Tables_number 216
_symmetry_space_group_name_Hall 'F -4 2 3'
_cell_length_a 11.5089
_cell_length_b 11.5089
_cell_length_c 11.5089
_cell_angle_alpha 90.00
_cell_angle_beta 90.00
_cell_angle_gamma 90.00
loop_
_atom_site_label
_atom_site_type_symbol
_atom_site_fract_x
_atom_site_fract_y
_atom_site_fract_z
Cu1 Cu 0.0000 0.0000 0.0000
Bi1 Bi 0.1308 0.1308 0.6308
Bi2 Bi 0.2500 0.2500 0.2500
S1 S 0.1157 0.1157 0.3843
S2 S 0.1220 0.1220 0.8780

---

# 3
# PBE CuBiS3, optimized geometry
# - calculated volume (Å³ per atom) = 27.64
data_CuBiS3
_chemical_formula_sum 'Cu1 Bi1 S3'
_symmetry_space_group_name_H-M 'P m -3 m'
_symmetry_Int_Tables_number 221
_symmetry_space_group_name_Hall '-P 4 2 3'
_cell_length_a 5.1701
_cell_length_b 5.1701
_cell_length_c 5.1701
_cell_angle_alpha 90.00
_cell_angle_beta 90.00
_cell_angle_gamma 90.00
loop_
_atom_site_label
_atom_site_type_symbol
_atom_site_fract_x
_atom_site_fract_y
_atom_site_fract_z
Cu1 Cu 0.0000 0.0000 0.0000
Bi1 Bi 0.5000 0.5000 0.5000
S1 S 0.0000 0.5000 0.5000

---

Which raw total energy belongs to each record? In order, -38.364, -241.988, -15.909 eV for the cell shown.
Which raw formation energy belongs to each record? In order, 0.18, -0.28, 0.89 eV per atom.